# 1
Below is La2Y2ErTm2 after structural relaxation, with properties calculated at the GGA-PBE level.

Properties
The crystal system is monoclinic.

abc: 3.5153 6.1439 11.8780
angles: 72.03 90.00 106.62
Atoms (fractional coordinates):
La 0.6713 0.3426 0.9151
La 0.3287 0.6574 0.0849
Y 0.4529 0.9058 0.7666
Y 0.5471 0.0942 0.2334
Er 0.0000 0.0000 0.5000
Tm 0.7707 0.5415 0.3687
Tm 0.2293 0.4585 0.6313


# 2
Below is La2YErTm2 after structural relaxation, with properties calculated at the GGA-PBE level.

Properties
The crystal system is orthorhombic.

abc: 5.6618 7.0707 9.8435
angles: 90.00 90.00 90.00
Atoms (fractional coordinates):
La 0.5000 0.0076 0.9999
La 0.0000 0.2576 0.1754
La 0.5000 0.5076 0.0001
La 0.0000 0.7576 0.8246
Y 0.0000 0.0076 0.5001
Y 0.0000 0.5076 0.4999
Er 0.5000 0.2576 0.6595
Er 0.5000 0.7576 0.3405
Tm 0.0000 0.2577 0.8327
Tm 0.5000 0.2575 0.3355
Tm 0.0000 0.7577 0.1673
Tm 0.5000 0.7575 0.6645


# 3
Below is La2Y6Er3Tm after structural relaxation, with properties calculated at the GGA-PBE level.

Properties
The crystal system is monoclinic.

abc: 6.2010 6.2010 11.8503
angles: 95.00 95.00 120.00
Atoms (fractional coordinates):
La 0.3335 0.6665 0.0000
La 0.6665 0.3335 0.0000
Y 0.9151 0.5832 0.7455
Y 0.7533 0.7533 0.2547
Y 0.0849 0.4168 0.2545
Y 0.5832 0.9151 0.7455
Y 0.2467 0.2467 0.7453
Y 0.4168 0.0849 0.2545
Er 0.1663 0.8337 0.5000
Er 0.8337 0.1663 0.5000
Er 0.5000 0.5000 0.5000
Tm 0.0000 0.0000 0.0000


The calculation returns the following ΔE_f values, one per record and in order: 0.087, 0.072, 0.026 eV per atom.
The calculation returns the following electronic total energy values, one per record and in order: -35.68, -58.79, -66.49 eV/cell.